1.
Material: CoCu2Si
Method: DFT, GGA-PBE
State: optimized geometry

Lattice parameters (Å, degrees): 3.4447 3.4447 7.7173 90.00 90.00 90.00
Last column: nearest neighbours and their distance in Å.
Space group I4/mmm (No. 139)
Unique sites:
1 Co 0.0000 0.0000 0.0000 x2  4 Si 2.44, 8 Cu 2.59
2 Cu 0.0000 0.5000 0.2500 x4  4 Cu 2.44, 4 Co 2.59, 4 Si 2.59
3 Si 0.0000 0.0000 0.5000 x2  4 Co 2.44, 8 Cu 2.59

## Properties
The value obtained for the uncorrected formation energy is -0.056 eV per atom.


2.
Material: ZrSc
Method: DFT, GGA-PBE
State: optimized geometry

Lattice parameters (Å, degrees): 3.2003 3.2003 9.2627 90.00 90.00 90.00
Last column: nearest neighbours and their distance in Å.
Space group P4/nmm (No. 129, origin choice 2)
Unique sites:
1 Zr 0.2500 0.2500 0.1240 x2  4 Sc 3.18, 8 Zr 3.20-3.22
2 Sc 0.2500 0.2500 0.6355 x2  4 Zr 3.18, 8 Sc 3.20-3.38

## Properties
The calculation puts the formation enthalpy at 0 K at 0.02 eV/atom.


3.
Material: Tb3Pr2Ni2
Method: DFT, GGA-PBE
State: optimized geometry

Lattice parameters (Å, degrees): 12.4113 3.6570 9.1301 90.00 116.98 90.00
Last column: nearest neighbours and their distance in Å.
Space group C2/m (No. 12)
Unique sites:
1 Tb 0.0000 0.0000 0.0000 x2  4 Ni 2.88
2 Tb 0.1171 0.0000 0.4324 x4  3 Ni 2.78-2.98
3 Pr 0.1636 0.5000 0.8090 x4  2 Ni 2.98
4 Ni 0.1662 0.5000 0.2405 x4  5 Tb 2.78-2.98, 2 Pr 2.98

## Properties
The calculation puts the formation enthalpy at 0 K at -0.22 eV/atom.


4.
Material: K2MgCl4
Method: DFT, GGA-PBE
State: optimized geometry

Lattice parameters (Å, degrees): 13.2622 3.9196 8.2149 90.00 118.26 90.00
Last column: nearest neighbours and their distance in Å.
Space group C2/m (No. 12)
Unique sites:
1 K 0.1540 0.0000 0.1804 x4  7 Cl 3.18-3.30
2 Mg 0.0000 0.5000 0.5000 x2  6 Cl 2.47-2.61
3 Cl 0.0494 0.5000 0.8306 x4  1 Mg 2.47
4 Cl 0.1440 0.0000 0.5630 x4  2 Mg 2.61

## Properties
The value obtained for the uncorrected formation energy is -1.895 eV per atom. The calculation puts the energy relative to the lowest polymorph listed for this composition at 21.4 meV/atom.


5.
Material: LiPaN2
Method: DFT, GGA-PBE
State: optimized geometry

Lattice parameters (Å, degrees): 3.5527 3.5527 17.2365 90.00 90.00 120.00
Last column: nearest neighbours and their distance in Å.
Space group R3m (No. 160, hexagonal axes)
Unique sites:
1 Li 0.0000 0.0000 0.0000 x3  3 N 2.39
2 Pa 0.0000 0.0000 0.1949 x3  6 N 2.25-2.36
3 N 0.0000 0.0000 0.5958 x3  3 Pa 2.36, 3 Li 2.39
4 N 0.0000 0.0000 0.8073 x3  3 Pa 2.25

## Properties
The value obtained for the uncorrected formation energy is -1.191 eV per atom. The calculation puts the energy relative to the lowest polymorph listed for this composition at 241.7 meV/atom.


6.
Material: PrDy3Au2
Method: DFT, GGA-PBE
State: optimized geometry

Lattice parameters (Å, degrees): 16.2794 5.2187 8.5891 90.00 114.51 90.00
Last column: nearest neighbours and their distance in Å.
Space group C2/m (No. 12)
Unique sites:
1 Pr 0.1343 0.0000 0.2005 x4  5 Au 3.33-3.46, 5 Dy 3.50-3.70
2 Dy 0.0634 0.0000 0.7320 x4  3 Au 2.98-3.06
3 Dy 0.1264 0.5000 0.5078 x4  3 Au 2.85-2.96
4 Dy 0.1948 0.5000 0.9970 x4  2 Au 2.83-2.95, 2 Dy 3.16
5 Au 0.0036 0.5000 0.8387 x4  1 Au 2.82, 4 Dy 2.83-3.06
6 Au 0.2160 0.0000 0.6264 x4  5 Dy 2.95-3.22

## Properties
The calculation puts the formation enthalpy at 0 K at -0.49 eV/atom. The calculation puts the energy relative to the lowest polymorph listed for this composition at 114.8 meV/atom.


7.
Material: Ce2Si7
Method: DFT, GGA-PBE
State: optimized geometry

Lattice parameters (Å, degrees): 7.0291 9.9692 4.4485 90.00 90.00 90.00
Last column: nearest neighbours and their distance in Å.
Space group Cmmm (No. 65)
Unique sites:
1 Ce 0.0000 0.2046 0.0000 x4  14 Si 3.02-3.21
2 Si 0.0000 0.0000 0.5000 x2  4 Si 2.56
3 Si 0.1807 0.5000 0.0000 x4  5 Si 2.54-2.59
4 Si 0.1886 0.3677 0.5000 x8  6 Si 2.50-2.65

## Properties
The value obtained for the uncorrected formation energy is -0.366 eV per atom.


8.
Material: LaZr2BeF
Method: DFT, GGA-PBE
State: optimized geometry

Lattice parameters (Å, degrees): 4.6063 4.6063 4.7002 90.00 90.00 90.00
Last column: nearest neighbours and their distance in Å.
Space group P4/mmm (No. 123)
Unique sites:
1 La 0.0000 0.0000 0.0000 x1  4 Be 3.26, 8 Zr 3.29
2 Zr 0.0000 0.5000 0.5000 x2  2 F 2.30
3 Be 0.5000 0.5000 0.0000 x1  2 F 2.35
4 F 0.5000 0.5000 0.5000 x1  4 Zr 2.30, 2 Be 2.35

## Properties
The value obtained for the uncorrected formation energy is -0.372 eV per atom.


9.
Material: TaTlC2
Method: DFT, GGA-PBE
State: optimized geometry

Lattice parameters (Å, degrees): 5.1512 5.1512 9.9776 90.00 90.00 90.00
Last column: nearest neighbours and their distance in Å.
Space group I-42d (No. 122)
Unique sites:
1 Ta 0.0000 0.0000 0.0000 x4  4 C 2.07
2 Tl 0.0000 0.0000 0.5000 x4  4 C 2.37
3 C 0.2004 0.2500 0.1250 x8  2 Ta 2.07

## Properties
The calculation puts the formation enthalpy at 0 K at 0.78 eV/atom. The calculation puts the energy relative to the lowest polymorph listed for this composition at 0.0 meV/atom.


10.
Material: KIn2Sn2
Method: DFT, GGA-PBE
State: optimized geometry

Lattice parameters (Å, degrees): 9.0688 9.0688 3.6518 90.00 90.00 90.00
Last column: nearest neighbours and their distance in Å.
Space group P4/mbm (No. 127)
Unique sites:
1 K 0.0000 0.0000 0.0000 x2  4 In 3.53, 2 K 3.65, 8 Sn 3.89
2 In 0.1351 0.3649 0.0000 x4  6 Sn 3.20-3.27, 1 In 3.47, 2 K 3.53
3 Sn 0.1536 0.6536 0.5000 x4  6 In 3.20-3.27

## Properties
The calculation puts the formation enthalpy at 0 K at -0.07 eV/atom. The calculation puts the energy relative to the lowest polymorph listed for this composition at 84.8 meV/atom.


11.
Material: AlPtW2
Method: DFT, GGA-PBE
State: optimized geometry

Lattice parameters (Å, degrees): 3.7656 3.8072 8.6141 90.00 90.00 90.00
Last column: nearest neighbours and their distance in Å.
Space group Immm (No. 71)
Unique sites:
1 Al 0.0000 0.0000 0.0000 x2  4 Pt 2.68, 8 W 2.86-2.88
2 Pt 0.0000 0.0000 0.5000 x2  4 Al 2.68, 8 W 2.86-2.87
3 W 0.0000 0.5000 0.2502 x4  4 W 2.68, 4 Al 2.86-2.88, 4 Pt 2.86-2.87

## Properties
The calculation puts the formation enthalpy at 0 K at -0.27 eV/atom.


12.
Material: TiP2AuO
Method: DFT, GGA-PBE
State: optimized geometry

Lattice parameters (Å, degrees): 4.9277 4.9277 3.6263 90.00 90.00 90.00
Last column: nearest neighbours and their distance in Å.
Space group P4/mmm (No. 123)
Unique sites:
1 Ti 0.0000 0.0000 0.0000 x1  2 O 1.81
2 P 0.0000 0.5000 0.0000 x2  2 Ti 2.46
3 Au 0.5000 0.5000 0.5000 x1  8 P 3.06
4 O 0.0000 0.0000 0.5000 x1  2 Ti 1.81

## Properties
The value obtained for the uncorrected formation energy is -0.339 eV per atom. The calculation puts the energy relative to the lowest polymorph listed for this composition at 0.0 meV/atom.


13.
Material: Ho3PuRu2
Method: DFT, GGA-PBE
State: optimized geometry

Lattice parameters (Å, degrees): 6.6390 13.3096 7.0786 90.00 90.00 90.00
Last column: nearest neighbours and their distance in Å.
Space group Ibam (No. 72)
Unique sites:
1 Ho 0.0000 0.0000 0.2500 x4  4 Ru 2.91
2 Ho 0.0000 0.2647 0.2500 x8  4 Ru 2.87-3.00
3 Pu 0.0000 0.5000 0.0000 x4  2 Ru 2.43
4 Ru 0.2379 0.1272 0.0000 x8  1 Pu 2.43

## Properties
The calculation puts the formation enthalpy at 0 K at -0.23 eV/atom. The calculation puts the energy relative to the lowest polymorph listed for this composition at 0.0 meV/atom.


14.
Material: K2As
Method: DFT, GGA-PBE
State: optimized geometry

Lattice parameters (Å, degrees): 5.7589 5.7589 7.3697 90.00 90.00 120.00
Last column: nearest neighbours and their distance in Å.
Space group P6_3/mmc (No. 194)
Unique sites:
1 K 0.0000 0.0000 0.0000 x2  8 K 3.68-3.80, 6 As 3.80
2 K 0.3333 0.6667 0.2500 x2  5 As 3.32-3.68
3 As 0.3333 0.6667 0.7500 x2  5 K 3.32-3.68

## Properties
The calculation puts the formation enthalpy at 0 K at -0.19 eV/atom.


15.
Material: Ba3Ge4Au2
Method: DFT, GGA-PBE
State: optimized geometry

Lattice parameters (Å, degrees): 12.6470 4.5038 9.2032 90.00 95.46 90.00
Last column: nearest neighbours and their distance in Å.
Space group C2/m (No. 12)
Unique sites:
1 Ba 0.0000 0.0000 0.0000 x2  8 Ge 3.58-3.63, 4 Au 3.59
2 Ba 0.1679 0.5000 0.6671 x4  8 Ge 3.53-3.64, 4 Au 3.56-3.62
3 Ge 0.0514 0.0000 0.3890 x4  1 Ge 2.52, 2 Au 2.59
4 Ge 0.2244 0.5000 0.0622 x4  1 Au 2.61, 2 Ge 2.63
5 Au 0.1073 0.5000 0.2803 x4  3 Ge 2.59-2.61

## Properties
The calculation puts the formation enthalpy at 0 K at -0.63 eV/atom.


16.
Material: BeGaSbTe2
Method: DFT, GGA-PBE
State: optimized geometry

Lattice parameters (Å, degrees): 5.4027 5.4027 5.2509 90.00 90.00 90.00
Last column: nearest neighbours and their distance in Å.
Space group P4/mmm (No. 123)
Unique sites:
1 Be 0.0000 0.0000 0.0000 x1  8 Te 3.77, 4 Sb 3.82
2 Ga 0.5000 0.5000 0.5000 x1  2 Sb 2.63, 4 Te 2.70
3 Sb 0.5000 0.5000 0.0000 x1  2 Ga 2.63
4 Te 0.0000 0.5000 0.5000 x2  2 Ga 2.70

## Properties
The value obtained for the uncorrected formation energy is 0.955 eV per atom. The calculation puts the energy relative to the lowest polymorph listed for this composition at 639.7 meV/atom.


17.
Material: AcPu2N4
Method: DFT, GGA-PBE
State: optimized geometry

Lattice parameters (Å, degrees): 3.5234 11.4523 10.9328 90.00 90.00 90.00
Last column: nearest neighbours and their distance in Å.
Space group Cmcm (No. 63)
Unique sites:
1 Ac 0.0000 0.1074 0.2500 x4  6 N 2.56-2.81
2 Pu 0.0000 0.3664 0.0682 x8  4 N 2.14-2.36
3 N 0.0000 0.0000 0.0000 x4  4 Pu 2.45
4 N 0.0000 0.2680 0.5980 x8  3 Pu 2.14-2.36
5 N 0.0000 0.4449 0.2500 x4  2 Pu 2.18

## Properties
The value obtained for the uncorrected formation energy is -1.133 eV per atom.


18.
Material: BaSrOs2
Method: DFT, GGA-PBE
State: optimized geometry

Lattice parameters (Å, degrees): 4.4365 4.4365 4.7927 90.00 90.00 90.00
Last column: nearest neighbours and their distance in Å.
Space group P4/mmm (No. 123)
Unique sites:
1 Ba 0.0000 0.0000 0.0000 x1  4 Sr 3.14, 8 Os 3.27
2 Sr 0.5000 0.5000 0.0000 x1  4 Ba 3.14, 8 Os 3.27
3 Os 0.0000 0.5000 0.5000 x2  4 Os 3.14, 4 Ba 3.27, 4 Sr 3.27

## Properties
The calculation puts the formation enthalpy at 0 K at 1.34 eV/atom. The calculation puts the energy relative to the lowest polymorph listed for this composition at 1143.6 meV/atom.


19.
Material: Ba4Pt2Cl
Method: DFT, GGA-PBE
State: optimized geometry

Lattice parameters (Å, degrees): 6.1337 6.1337 15.4487 90.00 90.00 90.00
Last column: nearest neighbours and their distance in Å.
Space group I4/mmm (No. 139)
Unique sites:
1 Ba 0.0000 0.0000 0.2200 x4  1 Pt 2.98
2 Ba 0.0000 0.5000 0.0000 x4  2 Cl 3.07, 4 Pt 3.35
3 Pt 0.0000 0.0000 0.4127 x4  1 Pt 2.70, 1 Ba 2.98
4 Cl 0.0000 0.0000 0.0000 x2  6 Ba 3.07-3.40

## Properties
The value obtained for the uncorrected formation energy is -0.814 eV per atom. The calculation puts the energy relative to the lowest polymorph listed for this composition at 256.5 meV/atom.


20.
Material: TmTl2Pd9
Method: DFT, GGA-PBE
State: optimized geometry

Lattice parameters (Å, degrees): 4.0768 4.0768 12.3479 90.00 90.00 90.00
Last column: nearest neighbours and their distance in Å.
Space group P4/mmm (No. 123)
Unique sites:
1 Tm 0.0000 0.0000 0.0000 x1  12 Pd 2.88-2.89
2 Tl 0.0000 0.0000 0.3357 x2  12 Pd 2.88-2.92
3 Pd 0.0000 0.5000 0.1662 x4  8 Pd 2.88-2.89, 2 Tm 2.89, 2 Tl 2.92
4 Pd 0.0000 0.5000 0.5000 x2  4 Tl 2.88, 8 Pd 2.88-2.91
5 Pd 0.5000 0.5000 0.0000 x1  4 Tm 2.88, 8 Pd 2.89
6 Pd 0.5000 0.5000 0.3314 x2  4 Tl 2.88, 8 Pd 2.88-2.91

## Properties
The calculation puts the formation enthalpy at 0 K at -0.44 eV/atom.


Listing DOS(E_F) for the structures above in their given order: 7.43, 6.25, 16.78, 0.00, 0.00, 23.11, 14.26, 3.03, 0.00, 5.18, 2.99, 3.30, 43.95, 4.66, 11.87, 5.41, 47.47, 3.73, 8.84, 11.05 states/eV/cell.